VASP calculation (PBE-GGA) on a relaxed TaTl2Cu2 crystal.

Values from the calculation:
Magnetization in μB per cell: 0.0
E_tot in eV per atom: -4.3389
Crystal system: tetragonal
E_form in eV/atom: 0.62

Lattice parameters (Å, degrees): 7.805 7.805 3.050 90.00 90.00 90.00
Atoms (fractional coordinates):
Ta  0.000  0.000  0.000
Ta  0.500  0.500  0.000
Tl  0.146  0.354  0.000
Tl  0.354  0.854  0.000
Tl  0.646  0.146  0.000
Tl  0.854  0.646  0.000
Cu  0.156  0.656  0.500
Cu  0.344  0.156  0.500
Cu  0.656  0.844  0.500
Cu  0.844  0.344  0.500